# 1
# KCd2HPd, relaxed, DFT GGA-PBE
# Theoretical density, g/cm³: 5.5
# Total moment, Bohr magnetons per cell: 0.00
# Final energy, eV per atom: -2.28
data_KCd2HPd
_chemical_formula_sum 'K1 Cd2 H1 Pd1'
_symmetry_space_group_name_H-M 'P 4/m m m'
_symmetry_Int_Tables_number 123
_symmetry_space_group_name_Hall '-P 4 2'
_cell_length_a 5.5050
_cell_length_b 5.5050
_cell_length_c 3.7116
_cell_angle_alpha 90.00
_cell_angle_beta 90.00
_cell_angle_gamma 90.00
loop_
_atom_site_label
_atom_site_type_symbol
_atom_site_fract_x
_atom_site_fract_y
_atom_site_fract_z
K1 K 0.0000 0.0000 0.0000
Cd1 Cd 0.0000 0.5000 0.5000
H1 H 0.5000 0.5000 0.0000
Pd1 Pd 0.5000 0.5000 0.5000

***

# 2
# TlAg2Cl2, relaxed, DFT GGA-PBE
# E above lowest polymorph, eV/atom: 0.000
# Theoretical density, g/cm³: 6.3
# Total moment, Bohr magnetons per cell: 0.00
# Final energy, eV per atom: -2.67
data_TlAg2Cl2
_chemical_formula_sum 'Tl2 Ag4 Cl4'
_symmetry_space_group_name_H-M 'I 4/m m m'
_symmetry_Int_Tables_number 139
_symmetry_space_group_name_Hall '-I 4 2'
_cell_length_a 4.0278
_cell_length_b 4.0278
_cell_length_c 15.8450
_cell_angle_alpha 90.00
_cell_angle_beta 90.00
_cell_angle_gamma 90.00
loop_
_atom_site_label
_atom_site_type_symbol
_atom_site_fract_x
_atom_site_fract_y
_atom_site_fract_z
Tl1 Tl 0.0000 0.0000 0.0000
Ag1 Ag 0.0000 0.5000 0.2500
Cl1 Cl 0.0000 0.0000 0.3855

***

Repeat the first record exactly.
# KCd2HPd, relaxed, DFT GGA-PBE
# Theoretical density, g/cm³: 5.5
# Total moment, Bohr magnetons per cell: 0.00
# Final energy, eV per atom: -2.28
data_KCd2HPd
_chemical_formula_sum 'K1 Cd2 H1 Pd1'
_symmetry_space_group_name_H-M 'P 4/m m m'
_symmetry_Int_Tables_number 123
_symmetry_space_group_name_Hall '-P 4 2'
_cell_length_a 5.5050
_cell_length_b 5.5050
_cell_length_c 3.7116
_cell_angle_alpha 90.00
_cell_angle_beta 90.00
_cell_angle_gamma 90.00
loop_
_atom_site_label
_atom_site_type_symbol
_atom_site_fract_x
_atom_site_fract_y
_atom_site_fract_z
K1 K 0.0000 0.0000 0.0000
Cd1 Cd 0.0000 0.5000 0.5000
H1 H 0.5000 0.5000 0.0000
Pd1 Pd 0.5000 0.5000 0.5000

***

Look up the theoretical density of the second one. 6.3 g/cm³

***

Copy entry 1 word for word.
# KCd2HPd, relaxed, DFT GGA-PBE
# Theoretical density, g/cm³: 5.5
# Total moment, Bohr magnetons per cell: 0.00
# Final energy, eV per atom: -2.28
data_KCd2HPd
_chemical_formula_sum 'K1 Cd2 H1 Pd1'
_symmetry_space_group_name_H-M 'P 4/m m m'
_symmetry_Int_Tables_number 123
_symmetry_space_group_name_Hall '-P 4 2'
_cell_length_a 5.5050
_cell_length_b 5.5050
_cell_length_c 3.7116
_cell_angle_alpha 90.00
_cell_angle_beta 90.00
_cell_angle_gamma 90.00
loop_
_atom_site_label
_atom_site_type_symbol
_atom_site_fract_x
_atom_site_fract_y
_atom_site_fract_z
K1 K 0.0000 0.0000 0.0000
Cd1 Cd 0.0000 0.5000 0.5000
H1 H 0.5000 0.5000 0.0000
Pd1 Pd 0.5000 0.5000 0.5000